Entry from Alexandria via LeMat-Bulk: an optimized crystal structure of Y2GaCuF (PBE-GGA).

Output
ρ in g/cm3: 4.38
Uncorrected energy in eV per cell: -24.182
Magnetic moment in μB per formula unit: 0.01
Formation energy (no corrections) in kJ/mol of formula units: -218
DOS at the Fermi energy in states/eV per cell: 6.630

Lattice parameters (Å, degrees): 5.3549 5.3549 4.3652 90.00 90.00 90.00
Last column: nearest neighbours and their distance in Å.
Fractional coordinates of all 5 atoms:
Y 0.0000 0.5000 0.0000  2 Cu 2.68
Y 0.5000 0.0000 0.0000  2 Cu 2.68
Ga 0.0000 0.0000 0.5000  2 Cu 2.18
Cu 0.0000 0.0000 0.0000  2 Ga 2.18
F 0.5000 0.5000 0.5000  8 Y 3.45, 4 Ga 3.79